Entry 1:
The following is a DFT calculation (PBE-GGA) of crystalline ZnAg at its relaxed geometry.

Values from the calculation:
- Fermi-level density of states: 0.86 states/eV per cell
- Size of the total moment: 0.000 μB/cell
- Crystal system: hexagonal

```
ZnAg
1.0
2.9195 0.0000 0.0000
-1.4598 2.5284 0.0000
0.0000 0.0000 4.4482
Zn Ag
1 1
direct
0.0000 0.0000 0.0000
0.3333 0.6667 0.5000
```

Entry 2:
The following is a DFT calculation (PBE-GGA) of crystalline ZnAg4 at its relaxed geometry.

Values from the calculation:
- Fermi-level density of states: 1.82 states/eV per cell
- Size of the total moment: 0.000 μB/cell
- Crystal system: cubic

```
ZnAg4
1.0
-2.9728 2.9728 2.9728
2.9728 -2.9728 2.9728
2.9728 2.9728 -2.9728
Zn Ag
1 4
direct
0.0000 0.0000 0.0000
0.0000 0.0000 0.5000
0.0000 0.5000 0.0000
0.5000 0.0000 0.0000
0.5000 0.5000 0.5000
```

Entry 3:
The following is a DFT calculation (PBE-GGA) of crystalline ZnAg4 at its relaxed geometry.

Values from the calculation:
- Fermi-level density of states: 1.35 states/eV per cell
- Size of the total moment: 0.000 μB/cell
- Crystal system: monoclinic

```
ZnAg4
1.0
4.8823 -1.5160 0.0000
4.8823 1.5160 0.0000
-4.0563 0.0000 5.8125
Zn Ag
1 4
direct
0.0000 0.0000 0.0000
0.2129 0.2129 0.8035
0.4090 0.4090 0.6149
0.5910 0.5910 0.3851
0.7871 0.7871 0.1965
```

Entry 4:
The following is a DFT calculation (PBE-GGA) of crystalline ZnAg at its relaxed geometry.

Values from the calculation:
- Fermi-level density of states: 1.99 states/eV per cell
- Size of the total moment: 0.000 μB/cell
- Crystal system: trigonal

```
ZnAg
1.0
1.4439 0.8336 9.2295
-1.4439 0.8336 9.2295
0.0000 -1.6673 9.2295
Zn Ag
2 2
direct
0.1257 0.1257 0.1257
0.8743 0.8743 0.8743
0.3778 0.3778 0.3778
0.6222 0.6222 0.6222
```

One value per record, in order, for calculated volume: 32.84 105.09 86.04 33.33 Å³/f.u..
One value per record, in order, for electronic total energy: -4.2 -11.2 -12.7 -4.0 eV/f.u..